The following is a DFT calculation (PBE-GGA) of CaIr after structural relaxation.

Unit cell a=7.4214 b=4.3231 c=7.8002 alpha=90.00 beta=108.50 gamma=90.00
With the nearest neighbours (Å) after each atom.
Space group C2/m (No. 12)
Inequivalent atoms, fractional coordinates:
Ca: 0.0825 0.0000 0.2472  6 Ir 3.06-3.10
Ir: 0.1688 0.5000 0.0005  3 Ir 2.48-2.50

---

The following is a DFT calculation (PBE-GGA) of BeHgGe after structural relaxation.

Unit cell a=3.5398 b=3.6309 c=8.5542 alpha=90.00 beta=101.91 gamma=90.00
With the nearest neighbours (Å) after each atom.
Space group P2_1/m (No. 11)
Inequivalent atoms, fractional coordinates:
Be: 0.0392 0.2500 0.0791  2 Be 2.25, 2 Ge 2.51
Hg: 0.1929 0.2500 0.3851  1 Be 2.56
Ge: 0.4329 0.2500 0.8666  6 Be 2.51-2.58

---

Sequential calculated total energy output: -45.80 -15.54 eV per cell